Computed, not measured: a geometry-optimized Pr3Ga2Sn2 structure at the PBE level of DFT.

Summary:
The value obtained for the total DFT energy (no corrections) is -4.772 eV/atom. Its crystal system is orthorhombic. The symmetry is Immm. The calculation puts the energy relative to the lowest polymorph listed for this composition at 0.000 eV/atom. The calculation puts the formation energy at -0.71 eV per atom.

a b c (Å): 4.3750 4.5777 10.1903
angles (deg): 102.98 102.40 90.00
Element x y z (fractional)
1 Pr 0.6819 0.1819 0.3639
2 Pr 0.0000 0.0000 0.0000
3 Pr 0.3181 0.8181 0.6361
4 Ga 0.4371 0.4371 0.8742
5 Ga 0.5629 0.5629 0.1258
6 Sn 0.8534 0.3534 0.7068
7 Sn 0.1466 0.6466 0.2932



Computed, not measured: a geometry-optimized CuSbP structure at the PBE level of DFT.

Summary:
The value obtained for the total DFT energy (no corrections) is -4.364 eV/atom. The calculation puts the formation energy without anion corrections at 179 meV per atom. Its crystal system is tetragonal. The symmetry is I4mm. The calculation puts the energy relative to the lowest polymorph listed for this composition at 0.000 eV/atom.

a b c (Å): 6.2163 6.2163 6.2163
angles (deg): 149.39 149.39 43.84
Element x y z (fractional)
1 Sb 0.6592 0.6592 0.0000
2 Cu 0.9039 0.9039 0.0000
3 P 0.4369 0.4369 0.0000



Computed, not measured: a geometry-optimized LuCrC2 structure at the PBE level of DFT.

Summary:
The value obtained for the total DFT energy (no corrections) is -8.157 eV/atom. Its crystal system is trigonal. The symmetry is R-3m. The calculation puts the formation energy at -0.01 eV per atom.

a b c (Å): 3.1365 3.1365 5.5395
angles (deg): 73.55 73.55 60.00
Site moments in Bohr magnetons follow the coordinates.
Element x y z (fractional)
1 C 0.2642 0.2642 0.2074  0.07
2 C 0.7358 0.7358 0.7926  0.07
3 Lu 0.5000 0.5000 0.5000  0.03
4 Cr 0.0000 0.0000 0.0000  -1.21